Record 1
Density functional theory data (PBE-GGA) for SrAlBr2 after structural relaxation.

a = 5.763 Å, b = 5.763 Å, c = 5.763 Å
α = 134.28°, β = 118.78°, γ = 79.65°
Fractional positions:
Sr  0.750  0.250  0.500
Br  0.477  0.477  0.000
Al  0.250  0.750  0.500
Br  0.023  0.023  0.000

Properties
The calculation puts the relative energy among the computed polymorphs at 64 meV per atom. For the density of states at the Fermi level, the calculation gives 1.87 states/eV per cell. The uncorrected energy comes out at -3.092 eV per atom. The energy relative to the elements, uncorrected comes out at -0.90 eV per atom. The space group is Immm, No. 71.

Record 2
Density functional theory data (PBE-GGA) for SrAlBr2 after structural relaxation.

a = 5.501 Å, b = 5.501 Å, c = 5.501 Å
α = 60.00°, β = 60.00°, γ = 60.00°
Fractional positions:
Br  0.250  0.250  0.250
Al  0.000  0.000  0.000
Sr  0.500  0.500  0.500
Br  0.750  0.750  0.750

Properties
The calculation puts the relative energy among the computed polymorphs at 118 meV per atom. For the density of states at the Fermi level, the calculation gives 2.10 states/eV per cell. The uncorrected energy comes out at -3.038 eV per atom. The energy relative to the elements, uncorrected comes out at -0.85 eV per atom. The space group is Fm-3m, No. 225.

Record 3
Density functional theory data (PBE-GGA) for SrAlBr2 after structural relaxation.

a = 9.721 Å, b = 9.721 Å, c = 9.721 Å
α = 27.26°, β = 27.26°, γ = 27.26°
Fractional positions:
Sr  0.000  0.000  0.000
Br  0.105  0.105  0.105
Br  0.895  0.895  0.895
Al  0.500  0.500  0.500

Properties
The calculation puts the relative energy among the computed polymorphs at 319 meV per atom. For the density of states at the Fermi level, the calculation gives 1.07 states/eV per cell. The uncorrected energy comes out at -2.837 eV per atom. The energy relative to the elements, uncorrected comes out at -0.64 eV per atom. The space group is R-3m, No. 166.

Record 4
Density functional theory data (PBE-GGA) for SrAl2Br after structural relaxation.

a = 5.496 Å, b = 5.496 Å, c = 5.496 Å
α = 60.00°, β = 60.00°, γ = 60.00°
Fractional positions:
Al  0.750  0.750  0.750
Sr  0.500  0.500  0.500
Al  0.250  0.250  0.250
Br  0.000  0.000  0.000

Properties
The calculation puts the relative energy among the computed polymorphs at 738 meV per atom. For the density of states at the Fermi level, the calculation gives 4.06 states/eV per cell. The uncorrected energy comes out at -2.490 eV per atom. The energy relative to the elements, uncorrected comes out at 0.22 eV per atom. The space group is Fm-3m, No. 225.

Record 5
Density functional theory data (PBE-GGA) for SrAlBr2 after structural relaxation.

a = 5.417 Å, b = 5.417 Å, c = 10.417 Å
α = 74.93°, β = 74.93°, γ = 90.00°
Fractional positions:
Br  0.626  0.125  0.250
Al  0.500  0.500  0.000
Br  0.124  0.625  0.250
Sr  0.000  0.000  0.000
Br  0.375  0.374  0.750
Al  0.250  0.750  0.500
Br  0.875  0.876  0.750
Sr  0.750  0.250  0.500

Properties
The calculation puts the relative energy among the computed polymorphs at 167 meV per atom. For the density of states at the Fermi level, the calculation gives 7.66 states/eV per cell. The uncorrected energy comes out at -2.989 eV per atom. The energy relative to the elements, uncorrected comes out at -0.80 eV per atom. The space group is I-42d, No. 122.

Record 6
Density functional theory data (PBE-GGA) for SrAl2Br8 after structural relaxation.

a = 6.818 Å, b = 8.546 Å, c = 8.546 Å
α = 72.99°, β = 81.55°, γ = 81.55°
Fractional positions:
Al  0.333  0.201  0.201
Br  0.244  0.930  0.297
Sr  0.000  0.000  0.000
Br  0.756  0.703  0.070
Al  0.667  0.799  0.799
Br  0.756  0.070  0.703
Br  0.319  0.806  0.806
Br  0.244  0.297  0.930
Br  0.179  0.362  0.362
Br  0.681  0.194  0.194
Br  0.821  0.638  0.638

Properties
The calculation puts the relative energy among the computed polymorphs at 16 meV per atom. For the density of states at the Fermi level, the calculation gives 0.00 states/eV per cell. The uncorrected energy comes out at -3.449 eV per atom. The energy relative to the elements, uncorrected comes out at -1.40 eV per atom. The space group is C2/m, No. 12.

Record 7
Density functional theory data (PBE-GGA) for SrAl2Br after structural relaxation.

a = 4.174 Å, b = 4.174 Å, c = 13.891 Å
α = 81.36°, β = 81.36°, γ = 90.00°
Fractional positions:
Al  0.106  0.625  0.250
Al  0.875  0.894  0.750
Sr  0.750  0.250  0.500
Br  0.250  0.750  0.500
Al  0.644  0.125  0.250
Sr  0.000  0.000  0.000
Al  0.375  0.356  0.750
Br  0.500  0.500  0.000

Properties
The calculation puts the relative energy among the computed polymorphs at 179 meV per atom. For the density of states at the Fermi level, the calculation gives 5.04 states/eV per cell. The uncorrected energy comes out at -3.049 eV per atom. The energy relative to the elements, uncorrected comes out at -0.34 eV per atom. The space group is I-42d, No. 122.

Record 8
Density functional theory data (PBE-GGA) for SrAl2Br after structural relaxation.

a = 5.968 Å, b = 5.968 Å, c = 5.968 Å
α = 134.35°, β = 123.32°, γ = 75.62°
Fractional positions:
Br  0.451  0.451  0.000
Sr  0.230  0.730  0.500
Al  0.975  0.975  0.000
Al  0.844  0.344  0.500

Properties
The calculation puts the relative energy among the computed polymorphs at 276 meV per atom. For the density of states at the Fermi level, the calculation gives 2.56 states/eV per cell. The uncorrected energy comes out at -2.953 eV per atom. The energy relative to the elements, uncorrected comes out at -0.24 eV per atom. The space group is Imm2, No. 44.

Record 9
Density functional theory data (PBE-GGA) for SrAl3Br after structural relaxation.

a = 6.273 Å, b = 6.273 Å, c = 6.273 Å
α = 90.00°, β = 90.00°, γ = 90.00°
Last column: magnetic moment on the atom in μB.
Fractional positions:
Br  0.500  0.500  0.500  0.04
Al  0.000  0.000  0.500  0.05
Al  0.500  0.000  0.000  0.06
Sr  0.000  0.000  0.000  0.13
Al  0.000  0.500  0.000  0.07

Properties
The calculation puts the relative energy among the computed polymorphs at 731 meV per atom. For the density of states at the Fermi level, the calculation gives 8.93 states/eV per cell. The uncorrected energy comes out at -1.795 eV per atom. The energy relative to the elements, uncorrected comes out at 1.12 eV per atom. The space group is Pm-3m, No. 221.

Record 10
Density functional theory data (PBE-GGA) for SrAl2Br after structural relaxation.

a = 6.931 Å, b = 6.931 Å, c = 4.641 Å
α = 86.53°, β = 86.53°, γ = 31.08°
Fractional positions:
Br  0.750  0.750  0.750
Sr  0.250  0.250  0.250
Al  0.506  0.506  0.477
Al  0.994  0.994  0.023

Properties
The calculation puts the relative energy among the computed polymorphs at 157 meV per atom. For the density of states at the Fermi level, the calculation gives 1.86 states/eV per cell. The uncorrected energy comes out at -3.072 eV per atom. The energy relative to the elements, uncorrected comes out at -0.36 eV per atom. The space group is C2/m, No. 12.

Record 11
Density functional theory data (PBE-GGA) for SrAlBr2 after structural relaxation.

a = 4.391 Å, b = 4.395 Å, c = 6.250 Å
α = 90.00°, β = 90.00°, γ = 90.00°
Last column: magnetic moment on the atom in μB.
Fractional positions:
Sr  0.000  0.000  0.470  0.07
Br  0.000  0.000  0.959  0.04
Br  0.500  0.500  0.263  0.01
Al  0.500  0.500  0.807  0.04

Properties
The calculation puts the relative energy among the computed polymorphs at 133 meV per atom. For the density of states at the Fermi level, the calculation gives 2.25 states/eV per cell. The uncorrected energy comes out at -3.023 eV per atom. The energy relative to the elements, uncorrected comes out at -0.83 eV per atom. The space group is P4mm, No. 99.

Record 12
Density functional theory data (PBE-GGA) for SrAlBr2 after structural relaxation.

a = 5.262 Å, b = 5.262 Å, c = 6.566 Å
α = 79.69°, β = 79.69°, γ = 46.83°
Fractional positions:
Br  0.035  0.035  0.976
Al  0.250  0.250  0.250
Br  0.465  0.465  0.524
Sr  0.750  0.750  0.750

Properties
The calculation puts the relative energy among the computed polymorphs at 40 meV per atom. For the density of states at the Fermi level, the calculation gives 1.47 states/eV per cell. The uncorrected energy comes out at -3.116 eV per atom. The energy relative to the elements, uncorrected comes out at -0.92 eV per atom. The space group is C2/m, No. 12.

Record 13
Density functional theory data (PBE-GGA) for SrAlBr2 after structural relaxation.

a = 3.728 Å, b = 3.728 Å, c = 10.613 Å
α = 90.00°, β = 90.00°, γ = 90.04°
Fractional positions:
Sr  0.500  0.500  0.250
Br  0.000  0.000  0.083
Br  0.000  0.000  0.417
Al  0.500  0.500  0.750

Properties
The calculation puts the relative energy among the computed polymorphs at 59 meV per atom. For the density of states at the Fermi level, the calculation gives 2.06 states/eV per cell. The uncorrected energy comes out at -3.097 eV per atom. The energy relative to the elements, uncorrected comes out at -0.90 eV per atom. The space group is P4/mmm, No. 123.

Record 14
Density functional theory data (PBE-GGA) for Ta2AlBr after structural relaxation.

a = 5.173 Å, b = 5.173 Å, c = 4.978 Å
α = 75.31°, β = 75.31°, γ = 34.26°
Fractional positions:
Br  0.258  0.258  0.232
Ta  0.751  0.751  0.701
Ta  0.997  0.997  0.024
Al  0.494  0.494  0.543

Properties
The calculation puts the relative energy among the computed polymorphs at 220 meV per atom. For the density of states at the Fermi level, the calculation gives 3.46 states/eV per cell. The uncorrected energy comes out at -6.903 eV per atom. The energy relative to the elements, uncorrected comes out at 0.38 eV per atom. The space group is Cm, No. 8.